## FeGeOs2 (GGA-PBE)

Data for a geometry-optimized FeGeOs2 structure.

Structure (POSCAR):
```
FeGeOs2
1.0
-2.304 3.627 3.332
-4.925 -1.676 -1.580
-3.641 -2.601 4.752
Os Ge Fe
4 2 2
Direct
0.156 0.625 0.250
0.594 0.125 0.250
0.875 0.844 0.750
0.375 0.406 0.750
0.750 0.250 0.500
0.000 0.000 0.000
0.500 0.500 0.000
0.250 0.750 0.500
```

ΔE_f: 1.115 eV/atom
space-group type: No. 122
density of states at the Fermi level: 0.771 states/eV/atom

***

## Tm5Th4 (GGA-PBE)

Data for a geometry-optimized Tm5Th4 structure.

Structure (POSCAR):
```
Tm5Th4
1.0
3.623 0.000 0.000
1.811 8.824 0.000
1.811 0.000 8.824
Tm Th
5 4
Direct
0.334 0.333 0.000
0.666 0.000 0.667
0.666 0.667 0.000
0.000 0.000 0.000
0.334 0.000 0.333
0.335 0.665 0.665
0.000 0.665 0.335
0.000 0.335 0.665
0.665 0.335 0.335
```

ΔE to the lowest computed polymorph: 0.85 eV/f.u.
ΔE_f: 0.131 eV/atom
space-group type: No. 139
density of states at the Fermi level: 1.696 states/eV/atom

***

## Ba2LaSi (GGA-PBE)

Data for a geometry-optimized Ba2LaSi structure.

Structure (POSCAR):
```
Ba2LaSi
1.0
4.588 0.000 0.000
0.000 8.251 0.100
0.000 6.038 5.649
Si Ba La
1 2 1
Direct
0.500 0.750 0.750
0.000 0.604 0.604
0.000 0.896 0.896
0.500 0.250 0.250
```

energy relative to the elements, uncorrected: 0.05 eV per formula unit
space-group type: No. 10
density of states at the Fermi level: 1.660 states/eV/atom

***

## Pr2Nd5In4 (GGA-PBE)

Data for a geometry-optimized Pr2Nd5In4 structure.

Structure (POSCAR):
```
Pr2Nd5In4
1.0
-0.646 3.200 -1.343
-2.098 -3.685 -7.772
-10.553 -1.219 2.175
In Nd Pr
4 5 2
Direct
0.500 0.749 0.421
0.500 0.251 0.579
0.500 0.201 0.117
0.500 0.799 0.883
0.000 0.841 0.142
0.000 0.459 0.334
0.000 0.500 0.000
0.000 0.159 0.858
0.000 0.541 0.666
0.000 0.917 0.638
0.000 0.083 0.362
```

ΔE_f: -0.288 eV/atom
space-group type: No. 10
density of states at the Fermi level: 1.130 states/eV/atom

***

## CaHgRh2 (GGA-PBE)

Data for a geometry-optimized CaHgRh2 structure.

Structure (POSCAR):
```
CaHgRh2
1.0
-0.117 2.909 -3.132
3.079 -2.117 -2.079
-2.755 -2.148 -1.893
Hg Ca Rh
1 1 2
Direct
0.000 0.500 0.500
0.500 0.000 0.500
0.500 0.500 0.000
0.000 0.000 0.000
```

ΔE_f: -0.148 eV/atom
space-group type: No. 123
density of states at the Fermi level: 1.201 states/eV/atom

***

## AcScZnCd (GGA-PBE)

Data for a geometry-optimized AcScZnCd structure.

Structure (POSCAR):
```
AcScZnCd
1.0
5.329 0.000 0.000
2.664 4.615 0.000
2.664 1.538 4.351
Cd Ac Zn Sc
1 1 1 1
Direct
0.750 0.750 0.750
0.500 0.500 0.500
0.250 0.250 0.250
0.000 0.000 0.000
```

ΔE_f: -0.170 eV/atom
space-group type: No. 216
density of states at the Fermi level: 1.207 states/eV/atom

***

## Li2InIr (GGA-PBE)

Data for a geometry-optimized Li2InIr structure.

Structure (POSCAR):
```
Li2InIr
1.0
2.934 0.000 0.000
0.000 3.912 0.000
0.000 0.000 5.677
Li In Ir
2 1 1
Direct
0.000 0.000 0.988
0.500 0.500 0.232
0.000 0.000 0.521
0.500 0.500 0.758
```

ΔE_f: -0.144 eV/atom
space-group type: No. 25
density of states at the Fermi level: 0.238 states/eV/atom

***

## LaTb3Nd4Te8 (GGA-PBE)

Data for a geometry-optimized LaTb3Nd4Te8 structure.

Structure (POSCAR):
```
LaTb3Nd4Te8
1.0
8.902 0.000 0.000
0.000 8.957 0.031
-4.451 -4.448 6.299
Tb La Nd Te
3 1 4 8
Direct
0.000 0.500 0.500
0.500 0.500 0.000
0.500 0.500 0.500
0.000 0.500 0.000
0.500 0.000 0.500
0.500 0.000 0.000
0.000 0.000 0.000
0.000 0.000 0.500
0.741 0.744 0.993
0.746 0.739 0.493
0.259 0.256 0.007
0.749 0.256 0.007
0.748 0.256 0.497
0.252 0.744 0.503
0.254 0.261 0.507
0.251 0.744 0.993
```

energy relative to the elements, uncorrected: -22.35 eV per formula unit
space-group type: No. 166
density of states at the Fermi level: 0.788 states/eV/atom

***

## CrTc2W (GGA-PBE)

Data for a geometry-optimized CrTc2W structure.

Structure (POSCAR):
```
CrTc2W
1.0
-0.199 0.147 -4.668
-1.354 -4.288 1.279
-2.633 0.873 0.140
Cr Tc W
1 2 1
Direct
0.000 0.500 0.500
0.500 0.500 0.000
0.000 0.000 0.000
0.500 0.000 0.500
```

ΔE_f: 0.243 eV/atom
space-group type: No. 65
density of states at the Fermi level: 1.156 states/eV/atom

***

## TlHg2O (GGA-PBE)

Data for a geometry-optimized TlHg2O structure.

Structure (POSCAR):
```
TlHg2O
1.0
-2.664 3.314 2.757
-0.614 4.752 -1.648
-4.546 1.557 -1.608
Hg Tl O
2 1 1
Direct
0.250 0.250 0.250
0.750 0.750 0.750
0.500 0.500 0.500
0.000 0.000 0.000
```

ΔE to the lowest computed polymorph: 1.18 eV/f.u.
energy relative to the elements, uncorrected: 1.06 eV per formula unit
space-group type: No. 225
density of states at the Fermi level: 0.255 states/eV/atom

***

## BaMgCl2 (GGA-PBE)

Data for a geometry-optimized BaMgCl2 structure.

Structure (POSCAR):
```
BaMgCl2
1.0
6.457 9.121 1.353
8.969 5.772 3.599
9.308 6.232 -1.117
Ba Mg Cl
1 1 2
Direct
0.500 0.500 0.500
0.000 0.000 0.000
0.123 0.123 0.123
0.877 0.877 0.877
```

ΔE to the lowest computed polymorph: 0.00 eV/f.u.
energy relative to the elements, uncorrected: -6.02 eV per formula unit
space-group type: No. 166
density of states at the Fermi level: 0.000 states/eV/atom

***

## ThMg8Zn4 (GGA-PBE)

Data for a geometry-optimized ThMg8Zn4 structure.

Structure (POSCAR):
```
ThMg8Zn4
1.0
5.188 0.000 2.085
2.594 6.874 1.043
0.030 0.000 7.421
Mg Zn Th
8 4 1
Direct
0.000 0.653 0.347
0.285 0.215 0.215
0.500 0.215 0.785
0.653 0.347 0.347
0.000 0.347 0.653
0.500 0.785 0.215
0.347 0.653 0.653
0.715 0.785 0.785
0.500 0.000 0.500
0.000 0.500 0.000
0.500 0.500 0.000
0.000 0.000 0.500
0.000 0.000 0.000
```

ΔE_f: -0.109 eV/atom
space-group type: No. 139
density of states at the Fermi level: 0.296 states/eV/atom

***

## Pm4Pr2Pb3O2 (GGA-PBE)

Data for a geometry-optimized Pm4Pr2Pb3O2 structure.

Structure (POSCAR):
```
Pm4Pr2Pb3O2
1.0
4.820 0.000 0.000
0.000 4.820 0.000
-2.410 -2.410 13.160
Pb O Pm Pr
3 2 4 2
Direct
0.178 0.178 0.355
0.000 0.000 0.000
0.822 0.822 0.645
0.599 0.599 0.197
0.401 0.401 0.803
0.417 0.917 0.835
0.083 0.583 0.165
0.583 0.083 0.165
0.917 0.417 0.835
0.306 0.306 0.612
0.694 0.694 0.388
```

energy relative to the elements, uncorrected: -15.21 eV per formula unit
space-group type: No. 139
density of states at the Fermi level: 0.560 states/eV/atom

***

## TmTlIn2 (GGA-PBE)

Data for a geometry-optimized TmTlIn2 structure.

Structure (POSCAR):
```
TmTlIn2
1.0
-0.662 0.762 -4.614
-2.283 -4.020 -0.337
-3.981 2.183 0.932
Tm Tl In
1 1 2
Direct
0.500 0.500 0.500
0.500 0.000 0.000
0.000 0.000 0.500
0.000 0.500 0.000
```

ΔE_f: -0.293 eV/atom
space-group type: No. 123
density of states at the Fermi level: 0.414 states/eV/atom

***

## P2SN2 (GGA-PBE)

Data for a geometry-optimized P2SN2 structure.

Structure (POSCAR):
```
P2SN2
1.0
-5.542 -0.593 0.241
0.639 -5.178 1.976
2.461 4.372 2.785
N S P
4 2 4
Direct
0.657 0.938 0.315
0.188 0.407 0.815
0.657 0.376 0.315
0.626 0.407 0.815
0.228 0.728 0.455
0.978 0.978 0.955
0.462 0.194 0.389
0.444 0.677 0.889
0.927 0.194 0.389
0.444 0.212 0.889
```

energy relative to the elements, uncorrected: 3.05 eV per formula unit
space-group type: No. 109
density of states at the Fermi level: 0.464 states/eV/atom

***

## SmHoTm2 (GGA-PBE)

Data for a geometry-optimized SmHoTm2 structure.

Structure (POSCAR):
```
SmHoTm2
1.0
3.461 0.021 1.031
0.827 5.663 3.427
-0.104 0.413 6.657
Ho Tm Sm
1 2 1
Direct
0.750 0.666 0.834
0.499 0.584 0.418
0.001 0.082 0.916
0.250 0.168 0.332
```

ΔE to the lowest computed polymorph: 0.01 eV/f.u.
ΔE_f: 0.012 eV/atom
space-group type: No. 44
density of states at the Fermi level: 1.684 states/eV/atom

***

## NdTh2VN4 (GGA-PBE)

Data for a geometry-optimized NdTh2VN4 structure.

Structure (POSCAR):
```
NdTh2VN4
1.0
-1.778 -0.456 -2.995
1.433 -5.717 2.080
-10.508 -0.344 6.291
N Nd Th V
8 2 4 2
Direct
0.000 0.000 0.000
0.270 0.541 0.370
0.576 0.152 0.250
0.424 0.848 0.750
0.270 0.541 0.130
0.730 0.459 0.870
0.000 0.000 0.500
0.730 0.459 0.630
0.087 0.174 0.750
0.913 0.826 0.250
0.633 0.266 0.451
0.367 0.734 0.951
0.367 0.734 0.549
0.633 0.266 0.049
0.824 0.649 0.750
0.176 0.351 0.250
```

energy relative to the elements, uncorrected: -9.71 eV per formula unit
space-group type: No. 63
density of states at the Fermi level: 0.655 states/eV/atom

***

## Pm2CoH8 (GGA-PBE)

Data for a geometry-optimized Pm2CoH8 structure.

Structure (POSCAR):
```
Pm2CoH8
1.0
3.634 0.000 0.000
0.000 4.217 -0.123
-1.817 -1.912 6.583
H Pm Co
8 2 1
Direct
0.762 0.762 0.525
0.597 0.873 0.194
0.238 0.238 0.475
0.000 0.803 0.000
0.000 0.197 0.000
0.404 0.676 0.808
0.403 0.127 0.806
0.596 0.324 0.192
0.857 0.357 0.714
0.143 0.643 0.286
0.500 0.000 0.000
```

raw total energy: -46.77 eV/f.u.
space-group type: No. 12
density of states at the Fermi level: 0.331 states/eV/atom

***

## ScCdTe2 (GGA-PBE)

Data for a geometry-optimized ScCdTe2 structure.

Structure (POSCAR):
```
ScCdTe2
1.0
6.765 0.000 0.000
0.000 6.765 0.000
3.383 3.383 6.495
Sc Te Cd
2 4 2
Direct
0.500 0.500 0.000
0.250 0.750 0.500
0.375 0.390 0.750
0.140 0.625 0.250
0.610 0.125 0.250
0.875 0.860 0.750
0.750 0.250 0.500
0.000 0.000 0.000
```

energy relative to the elements, uncorrected: -2.32 eV per formula unit
space-group type: No. 122
density of states at the Fermi level: 1.048 states/eV/atom

***

## LiMnCl3 (GGA-PBE)

Data for a geometry-optimized LiMnCl3 structure.

Structure (POSCAR):
```
LiMnCl3
1.0
-2.906 -0.708 -2.445
0.368 -6.135 1.341
-6.971 4.343 7.025
Cl Mn Li
6 2 2
Direct
0.250 0.157 0.248
0.250 0.414 0.826
0.750 0.909 0.752
0.750 0.588 0.174
0.250 0.685 0.462
0.750 0.223 0.538
0.250 0.061 0.658
0.750 0.403 0.342
0.750 0.531 0.745
0.250 0.786 0.255
```

ΔE to the lowest computed polymorph: 0.01 eV/f.u.
energy relative to the elements, uncorrected: -6.72 eV per formula unit
space-group type: No. 40
density of states at the Fermi level: 0.000 states/eV/atom

***

Values for calculated volume, A^3/atom, ordered as above
19.5, 31.3, 52.8, 30.6, 18.2, 26.7, 16.3, 31.5, 14.5, 23.0, 53.4, 20.3, 27.8, 25.4, 13.0, 31.6, 16.1, 9.1, 37.2, 25.1